{
  "formula": "PmEuSbI",
  "functional": "PBE",
  "state": "relaxed",
  "lattice_angstrom": [[-2.5007, -1.8490, 4.6275], [0.5181, -5.3439, 1.5036], [3.0507, -1.3565, 4.4654]],
  "species": ["Pm", "Eu", "I", "Sb"],
  "fractional_positions": [[0.0000, 0.0000, 0.0000], [0.5000, 0.5000, 0.5000], [0.7500, 0.7500, 0.7500], [0.2500, 0.2500, 0.2500]],
  "e_form_raw_mev_per_atom": -992,
  "energy_ev_per_cell": -24.7
}

***

{
  "formula": "Rb2Sr2PuO6",
  "functional": "PBE",
  "state": "relaxed",
  "lattice_angstrom": [[-0.4488, -1.4507, -6.0479], [4.1360, -3.0672, 3.5170], [-5.7798, -3.1176, 2.2436]],
  "species": ["O", "O", "O", "O", "O", "O", "Rb", "Rb", "Pu", "Sr", "Sr"],
  "fractional_positions": [[0.6629, 0.9520, 0.3308], [0.9520, 0.6629, 0.3308], [0.3371, 0.0480, 0.6692], [0.7825, 0.7825, 0.6745], [0.2175, 0.2175, 0.3255], [0.0480, 0.3371, 0.6692], [0.8315, 0.1685, 0.0000], [0.1685, 0.8315, 0.0000], [0.0000, 0.0000, 0.5000], [0.6634, 0.3366, 0.5000], [0.3366, 0.6634, 0.5000]],
  "e_form_raw_mev_per_atom": -2443,
  "energy_ev_per_cell": -76.3
}